Entry 1:
Here is a crystal of Ba3CaTa2O9 relaxed with PBEsol from the Alexandria database. Energies are from meta-GGA SCAN.

crystal system: trigonal
energy: -24.489 eV/atom
mass density: 7267 kg/m3

Cell and atoms, written as CIF:
```
data_Ba3CaTa2O9
_cell_length_a 5.8929
_cell_length_b 5.8929
_cell_length_c 7.2786
_cell_angle_alpha 90.00
_cell_angle_beta 90.00
_cell_angle_gamma 120.00
_space_group_name_H-M_alt 'P -3 m 1'
_space_group_IT_number 164
_space_group_name_Hall '-P 3 2"'
loop_
_atom_site_label
_atom_site_type_symbol
_atom_site_fract_x
_atom_site_fract_y
_atom_site_fract_z
Ba1 Ba 0.0000 0.0000 0.0000
Ba2 Ba 0.3333 0.6667 0.6665
Ca1 Ca 0.0000 0.0000 0.5000
Ta1 Ta 0.3333 0.6667 0.1677
O1 O 0.0000 0.5000 0.0000
O2 O 0.1765 0.3530 0.3136
```



Entry 2:
Here is a crystal of Ba2CaTeO6 relaxed with PBEsol from the Alexandria database. Energies are from meta-GGA SCAN.

crystal system: cubic
energy: -18.978 eV/atom
mass density: 6045 kg/m3

Cell and atoms, written as CIF:
```
data_Ba2CaTeO6
_cell_length_a 8.395
_cell_length_b 8.395
_cell_length_c 8.395
_cell_angle_alpha 90.00
_cell_angle_beta 90.00
_cell_angle_gamma 90.00
_space_group_name_H-M_alt 'F m -3 m'
_space_group_IT_number 225
_space_group_name_Hall '-F 4 2 3'
loop_
_atom_site_label
_atom_site_type_symbol
_atom_site_fract_x
_atom_site_fract_y
_atom_site_fract_z
Ba1 Ba 0.250 0.250 0.250
Ca1 Ca 0.000 0.000 0.000
Te1 Te 0.000 0.000 0.500
O1 O 0.000 0.000 0.269
```



Entry 3:
Here is a crystal of Ba4CaTi5O15 relaxed with PBEsol from the Alexandria database. Energies are from meta-GGA SCAN.

crystal system: tetragonal
energy: -17.040 eV/atom
mass density: 5719 kg/m3

Cell and atoms, written as CIF:
```
data_Ba4CaTi5O15
_cell_length_a 3.960
_cell_length_b 3.960
_cell_length_c 19.786
_cell_angle_alpha 90.00
_cell_angle_beta 90.00
_cell_angle_gamma 90.00
_space_group_name_H-M_alt 'P 4/m m m'
_space_group_IT_number 123
_space_group_name_Hall '-P 4 2'
loop_
_atom_site_label
_atom_site_type_symbol
_atom_site_fract_x
_atom_site_fract_y
_atom_site_fract_z
Ba1 Ba 0.000 0.000 0.101
Ba2 Ba 0.000 0.000 0.304
Ca1 Ca 0.000 0.000 0.500
Ti1 Ti 0.500 0.500 0.000
Ti2 Ti 0.500 0.500 0.202
Ti3 Ti 0.500 0.500 0.405
O1 O 0.000 0.500 0.000
O2 O 0.000 0.500 0.203
O3 O 0.000 0.500 0.407
O4 O 0.500 0.500 0.101
O5 O 0.500 0.500 0.303
O6 O 0.500 0.500 0.500
```



Entry 4:
Here is a crystal of Ba4CaZr5O15 relaxed with PBEsol from the Alexandria database. Energies are from meta-GGA SCAN.

crystal system: tetragonal
excess energy over the best structure of this formula in the dataset: 8 meV per atom
mass density: 5877 kg/m3

Cell and atoms, written as CIF:
```
data_Ba4CaZr5O15
_cell_length_a 4.173
_cell_length_b 4.173
_cell_length_c 20.859
_cell_angle_alpha 90.00
_cell_angle_beta 90.00
_cell_angle_gamma 90.00
_space_group_name_H-M_alt 'P 4/m m m'
_space_group_IT_number 123
_space_group_name_Hall '-P 4 2'
loop_
_atom_site_label
_atom_site_type_symbol
_atom_site_fract_x
_atom_site_fract_y
_atom_site_fract_z
Ba1 Ba 0.000 0.000 0.101
Ba2 Ba 0.000 0.000 0.302
Ca1 Ca 0.000 0.000 0.500
Zr1 Zr 0.500 0.500 0.000
Zr2 Zr 0.500 0.500 0.201
Zr3 Zr 0.500 0.500 0.403
O1 O 0.000 0.500 0.000
O2 O 0.000 0.500 0.202
O3 O 0.000 0.500 0.405
O4 O 0.500 0.500 0.101
O5 O 0.500 0.500 0.302
O6 O 0.500 0.500 0.500
```